Below is crystalline LiFeP2 at its relaxed geometry, with properties calculated at the PBE level.

- DOS(E_F) (states/eV per cell) = 2.26
- offset from the most stable computed form (meV per atom) = 51
- formation enthalpy at 0 K (meV per atom) = -308
- total DFT energy (no corrections) (eV per cell) = -22.43

abc: 7.3330 7.3330 7.3330
angles: 23.41 23.41 23.41
Closest atoms and distances in Å follow each position.
Fractional coordinates of all 4 atoms:
P 0.9884 0.9884 0.9884  3 Fe 2.30
Fe 0.2500 0.2500 0.2500  6 P 2.30
Li 0.7500 0.7500 0.7500  6 P 2.66, 6 Li 2.97
P 0.5116 0.5116 0.5116  3 Fe 2.30